# YErF5 | Alexandria | PBE | relaxed
data_YErF5
_chemical_formula_sum 'Y4 Er4 F20'
_cell_length_a 9.545
_cell_length_b 7.116
_cell_length_c 7.876
_cell_angle_alpha 90.00
_cell_angle_beta 114.22
_cell_angle_gamma 90.00
_space_group_name_H-M_alt 'C 1 2/c 1'
_space_group_IT_number 15
_space_group_name_Hall '-C 2yc'
loop_
_atom_site_label
_atom_site_fract_x
_atom_site_fract_y
_atom_site_fract_z
Y1 0.000 0.010 0.250
Er1 0.000 0.500 0.000
F1 0.000 0.174 0.517
F2 0.000 0.337 0.250
F3 0.249 0.491 0.625
# Electronic total energy: -188.37 eV for the cell shown
# Spin magnetization: 0.000 μB/f.u.
# ρ: 4.78 g cm⁻³
# Energy relative to the elements, uncorrected: -3815 meV per atom